Record 1
Material: Rb2HgTePt
Method: DFT, PBE-GGA
State: optimized geometry

Cell lengths 6.4468, 6.4468, 5.2048 Å; angles 90.00, 90.00, 90.00 degrees
Space group P4/mmm (No. 123)
Symmetry-distinct sites (fractional):
Rb (0.0000, 0.5000, 0.0000)
Hg (0.0000, 0.0000, 0.5000)
Te (0.5000, 0.5000, 0.5000)
Pt (0.0000, 0.0000, 0.0000)

The uncorrected formation energy comes out at -137 meV per atom. The density of states at the Fermi level is 6.76 states/eV/cell.

***

Record 2
Material: PrSm2In2
Method: DFT, PBE-GGA
State: optimized geometry

Cell lengths 3.8512, 5.4903, 14.3633 Å; angles 90.00, 97.73, 90.00 degrees
Space group P2_1/m (No. 11)
Symmetry-distinct sites (fractional):
Pr (0.1458, 0.2500, 0.2938)
Sm (0.0484, 0.7500, 0.0974)
Sm (0.2359, 0.7500, 0.4721)
In (0.3572, 0.2500, 0.7132)
In (0.4521, 0.7500, 0.9046)

The density of states at the Fermi level is 8.27 states/eV/cell. The value obtained for the energy of formation is -0.385 eV/atom. The energy above the most stable polymorph in this dataset comes out at 0.00 eV per formula unit.